CdAs3Pb, optimized geometry, DFT PBE-GGA; formation energy = 0.7118 eV per atom; calculated density = 6.45 g/cm3; uncorrected energy = -3.003 eV/atom; energy above the most stable polymorph in this dataset = 0.0 kJ per mole of atoms
1.0
5.194 0.000 0.000
0.000 5.194 0.000
0.000 0.000 5.194
As Pb Cd
3 1 1
direct
0.000 0.500 0.000 As
0.500 0.000 0.000 As
0.000 0.000 0.500 As
0.500 0.500 0.500 Pb
0.000 0.000 0.000 Cd

***

Th3SiC, optimized geometry, DFT PBE-GGA; E_form (uncorrected) = -0.39 eV per atom; calculated density = 9.90 g/cm3; uncorrected energy = -7.768 eV/atom
1.0
-1.099 -0.883 3.667
7.164 -1.908 1.686
0.513 8.058 2.094
Th Si C
6 2 2
direct
0.750 0.283 0.940 Th
0.250 0.381 0.615 Th
0.750 0.619 0.385 Th
0.250 0.717 0.060 Th
0.250 0.932 0.670 Th
0.750 0.068 0.330 Th
0.250 0.356 0.218 Si
0.750 0.644 0.782 Si
0.250 0.849 0.364 C
0.750 0.151 0.636 C